1.
First-principles (PBE-GGA) data for an optimized crystal structure of SmPaAl2O8, as listed in Alexandria via LeMat-Bulk.

The structure in POSCAR format:
```
SmPaAl2O8
1.0
5.960 0.176 0.000
-2.486 5.420 0.000
-1.737 -2.798 4.970
Sm Pa O Al
1 1 8 2
Cartesian
0.000 0.000 0.000
-1.243 2.710 2.485
0.310 2.299 0.949
3.072 -1.429 3.364
0.186 -1.500 4.021
2.888 1.605 3.364
3.164 3.297 0.949
1.580 -0.502 1.607
-0.186 1.500 4.021
4.380 0.678 1.607
2.980 0.088 2.485
1.737 2.798 0.000
```

Properties
Spin magnetization in μB per formula unit: 1.19
Calculated total energy in eV/atom: -7.942
Calculated volume in Å³ per cell: 162.7
Energy relative to the elements, uncorrected in eV/atom: -2.8283

---

2.
First-principles (PBE-GGA) data for an optimized crystal structure of PaAlSnO6, as listed in Alexandria via LeMat-Bulk.

The structure in POSCAR format:
```
PaAlSnO6
1.0
-3.354 1.713 -3.523
1.653 -4.882 -0.173
-7.291 -2.668 5.643
Pa O Al Sn
2 12 2 2
Cartesian
0.000 0.000 0.000
-3.646 -1.334 2.822
-3.715 -0.327 -2.739
-5.691 -3.837 1.211
-6.838 -5.982 2.446
-3.301 -2.000 0.737
-4.846 0.059 -0.286
-4.116 -3.406 3.449
-6.838 -3.478 3.631
-2.155 -2.359 -1.684
-2.154 0.145 -0.499
-4.876 -2.430 -1.501
-5.278 -5.510 4.686
-4.146 -5.896 2.234
-3.508 -1.152 -0.995
-5.485 -4.685 2.943
-7.153 -2.486 1.826
-1.839 -3.350 0.121
```

Properties
Spin magnetization in μB per formula unit: 0.00
Calculated total energy in eV/atom: -7.958
Calculated volume in Å³ per cell: 221.0
Energy relative to the elements, uncorrected in eV/atom: -2.7367

---

3.
First-principles (PBE-GGA) data for an optimized crystal structure of SrPaAl2O8, as listed in Alexandria via LeMat-Bulk.

The structure in POSCAR format:
```
SrPaAl2O8
1.0
5.772 0.000 0.000
-2.886 4.999 0.000
0.000 0.000 7.103
Al O Pa Sr
2 8 1 1
Cartesian
2.886 1.666 1.696
0.000 3.333 5.407
0.000 3.333 0.101
2.886 1.666 7.003
4.355 0.816 2.137
1.416 0.820 2.137
-1.468 4.183 4.966
-0.002 1.636 4.966
2.889 3.363 2.137
1.471 4.179 4.966
0.000 0.000 3.552
0.000 0.000 0.000
```

Properties
Spin magnetization in μB per formula unit: 3.02
Calculated total energy in eV/atom: -7.303
Calculated volume in Å³ per cell: 205.0
Energy relative to the elements, uncorrected in eV/atom: -2.4419

---

4.
First-principles (PBE-GGA) data for an optimized crystal structure of Sr3PaAl2O9, as listed in Alexandria via LeMat-Bulk.

The structure in POSCAR format:
```
Sr3PaAl2O9
1.0
-4.278 3.622 -0.515
-0.115 -4.903 -2.763
-3.244 -3.044 5.538
Al O Sr Pa
2 9 3 1
Cartesian
-5.631 -1.791 3.414
-2.007 -2.534 -1.154
-1.857 -4.370 -0.636
-5.835 -2.293 1.579
-2.197 -0.641 -1.639
-0.058 -2.452 -1.381
-3.741 -1.682 3.142
-2.139 1.811 -0.258
-1.803 -2.032 0.681
-5.780 0.044 2.896
-3.897 -2.643 -0.881
0.000 0.000 0.000
-3.799 -4.216 1.906
-3.839 -0.110 0.354
-1.622 -1.522 2.769
```

Properties
Spin magnetization in μB per formula unit: 0.98
Calculated total energy in eV/atom: -7.431
Calculated volume in Å³ per cell: 194.9
Energy relative to the elements, uncorrected in eV/atom: -2.9872

---

5.
First-principles (PBE-GGA) data for an optimized crystal structure of SrPaAlO6, as listed in Alexandria via LeMat-Bulk.

The structure in POSCAR format:
```
SrPaAlO6
1.0
-2.835 -3.497 -1.448
2.392 0.134 -5.009
2.047 -3.301 3.967
O Pa Al Sr
6 1 1 1
Cartesian
-1.306 -3.581 -0.105
1.096 -4.927 -1.557
2.822 -3.961 -0.091
0.468 -5.645 1.406
0.899 -3.386 2.287
0.490 -1.929 -0.433
2.162 -2.156 0.975
-1.417 -1.749 -0.724
0.860 -2.760 -2.741
```

Properties
Spin magnetization in μB per formula unit: 2.01
Calculated total energy in eV/atom: -7.551
Calculated volume in Å³ per cell: 126.2
Energy relative to the elements, uncorrected in eV/atom: -2.5879

---

6.
First-principles (PBE-GGA) data for an optimized crystal structure of TbPaAlO6, as listed in Alexandria via LeMat-Bulk.

The structure in POSCAR format:
```
TbPaAlO6
1.0
4.726 0.000 0.000
0.000 5.373 0.000
0.000 -2.687 4.653
O Al Pa Tb
6 1 1 1
Cartesian
3.463 -1.078 4.547
3.463 1.790 3.314
1.263 0.712 1.446
1.263 -1.790 3.314
3.463 -0.712 1.446
1.263 1.078 4.547
2.363 0.000 0.000
0.000 0.000 3.102
2.363 2.687 1.551
```

Properties
Spin magnetization in μB per formula unit: 0.77
Calculated total energy in eV/atom: -8.311
Calculated volume in Å³ per cell: 118.2
Energy relative to the elements, uncorrected in eV/atom: -3.0203

---

7.
First-principles (PBE-GGA) data for an optimized crystal structure of TbPaAl2O8, as listed in Alexandria via LeMat-Bulk.

The structure in POSCAR format:
```
TbPaAl2O8
1.0
-3.725 4.605 -0.058
-1.407 -4.141 -3.995
-0.277 -2.490 5.368
Pa O Al Tb
1 8 2 1
Cartesian
0.000 0.000 0.000
-1.911 -1.051 -1.022
-3.117 1.492 3.384
-1.595 0.688 1.365
-4.246 0.700 -1.826
-3.080 -2.553 1.627
-1.581 -1.148 3.851
-4.532 -0.003 1.170
-3.892 2.518 0.648
-3.284 1.174 1.642
-2.566 0.232 -2.026
-2.125 -3.199 -0.327
```

Properties
Spin magnetization in μB per formula unit: 1.30
Calculated total energy in eV/atom: -7.956
Calculated volume in Å³ per cell: 159.6
Energy relative to the elements, uncorrected in eV/atom: -2.8499

---

8.
First-principles (PBE-GGA) data for an optimized crystal structure of PaAlTeO6, as listed in Alexandria via LeMat-Bulk.

The structure in POSCAR format:
```
PaAlTeO6
1.0
-2.643 -4.145 1.933
-0.005 0.946 -5.197
7.809 -5.445 -0.998
O Al Pa Te
12 2 2 2
Cartesian
-0.739 -2.929 -2.163
1.066 -4.760 0.763
3.257 -5.477 -2.907
5.056 -6.459 -4.642
0.105 -2.186 0.379
4.096 -3.885 -5.026
6.663 -4.215 -4.312
4.864 -3.260 -2.429
0.298 -5.385 -1.834
5.900 -5.716 -2.100
1.904 -3.168 -1.355
-1.502 -4.429 0.049
4.973 -4.835 -3.569
0.189 -3.809 -0.693
0.000 0.000 0.000
3.905 -2.723 -0.499
1.068 -2.113 -3.070
4.093 -6.532 -1.193
```

Properties
Spin magnetization in μB per formula unit: 0.00
Calculated total energy in eV/atom: -7.576
Calculated volume in Å³ per cell: 231.3
Energy relative to the elements, uncorrected in eV/atom: -2.4500

---

9.
First-principles (PBE-GGA) data for an optimized crystal structure of PaAl2TeO8, as listed in Alexandria via LeMat-Bulk.

The structure in POSCAR format:
```
PaAl2TeO8
1.0
-0.458 -0.628 4.576
4.610 0.105 0.526
-0.246 6.496 0.867
O Te Pa Al
8 1 1 2
Cartesian
2.701 2.892 3.902
3.350 4.901 2.043
0.556 1.071 3.926
3.479 1.494 1.588
2.601 6.137 4.364
1.205 3.080 2.066
1.305 -0.165 1.604
0.427 4.479 4.380
0.000 0.000 0.000
-0.123 3.248 0.433
2.017 1.299 2.759
1.889 4.674 3.209
```

Properties
Spin magnetization in μB per formula unit: 0.00
Calculated total energy in eV/atom: -7.388
Calculated volume in Å³ per cell: 141.3
Energy relative to the elements, uncorrected in eV/atom: -2.4061

---

10.
First-principles (PBE-GGA) data for an optimized crystal structure of ThPaAl2O8, as listed in Alexandria via LeMat-Bulk.

The structure in POSCAR format:
```
ThPaAl2O8
1.0
-2.280 -3.283 -4.429
4.707 -2.583 2.600
-4.237 0.675 4.145
O Al Th Pa
8 2 1 1
Cartesian
-3.550 -0.839 2.284
0.418 -4.485 -1.298
-1.957 -1.195 -0.202
-2.108 -4.222 0.250
-1.352 -2.823 2.955
-4.268 -2.120 -0.302
0.865 -2.236 0.692
-2.275 -3.545 -2.142
1.213 -2.933 -0.914
-2.652 -2.770 -0.599
0.000 0.000 0.000
0.842 -2.421 2.915
```

Properties
Spin magnetization in μB per formula unit: 0.00
Calculated total energy in eV/atom: -8.499
Calculated volume in Å³ per cell: 163.0
Energy relative to the elements, uncorrected in eV/atom: -3.1605

---

11.
First-principles (PBE-GGA) data for an optimized crystal structure of PaAlTlO5, as listed in Alexandria via LeMat-Bulk.

The structure in POSCAR format:
```
PaAlTlO5
1.0
-3.525 -4.208 -2.339
4.053 1.361 -4.163
4.262 -3.924 5.726
Tl O Pa Al
2 10 2 2
Cartesian
2.563 -1.498 -2.117
2.226 -5.273 1.340
-1.361 -3.881 -2.649
3.227 -2.835 1.215
5.245 -2.554 -0.863
-0.456 -4.217 0.086
0.307 -6.684 1.802
4.483 -0.087 -2.579
6.150 -2.890 1.872
0.032 -1.656 -1.392
1.562 -3.935 -1.992
4.758 -5.114 0.615
0.000 0.000 0.000
2.131 -1.962 2.863
-0.072 -3.434 -1.483
4.861 -3.336 0.706
```

Properties
Spin magnetization in μB per formula unit: 0.00
Calculated total energy in eV/atom: -7.608
Calculated volume in Å³ per cell: 253.2
Energy relative to the elements, uncorrected in eV/atom: -2.5590

---

12.
First-principles (PBE-GGA) data for an optimized crystal structure of Pa2AlTlO8, as listed in Alexandria via LeMat-Bulk.

The structure in POSCAR format:
```
Pa2AlTlO8
1.0
-1.614 4.136 -3.069
-3.633 -2.924 2.717
0.552 3.791 4.819
O Al Pa Tl
8 1 2 1
Cartesian
-4.013 0.953 1.021
-2.643 1.613 3.563
-1.387 0.347 1.197
-0.683 4.050 3.446
-1.491 6.119 1.910
-2.053 3.390 0.903
-3.309 4.656 3.269
-3.205 -1.116 2.556
0.000 0.000 0.000
-2.476 2.759 5.020
-2.220 2.244 -0.554
0.276 1.896 2.409
```

Properties
Spin magnetization in μB per formula unit: 0.00
Calculated total energy in eV/atom: -7.744
Calculated volume in Å³ per cell: 155.3
Energy relative to the elements, uncorrected in eV/atom: -2.3469

---

13.
First-principles (PBE-GGA) data for an optimized crystal structure of Pa3AlTl2O12, as listed in Alexandria via LeMat-Bulk.

The structure in POSCAR format:
```
Pa3AlTl2O12
1.0
-4.751 5.646 1.510
-3.634 2.880 -5.936
-7.325 -1.687 -0.473
Pa O Tl Al
3 12 2 1
Cartesian
-1.817 1.440 -2.968
-3.663 -0.843 -0.236
-2.376 2.823 0.755
-12.433 4.557 -0.714
-9.570 1.212 -1.887
-7.700 1.184 -4.214
-4.013 4.104 0.719
-11.697 2.736 -5.618
-6.140 5.628 -3.012
-5.709 -0.726 -0.587
-8.010 5.655 -0.685
-8.377 2.860 0.298
-3.277 2.282 -4.185
-7.333 3.979 -5.197
-10.002 7.566 -4.312
-6.050 2.634 -1.886
-9.661 4.206 -3.012
0.000 0.000 0.000
```

Properties
Spin magnetization in μB per formula unit: 0.87
Calculated total energy in eV/atom: -7.738
Calculated volume in Å³ per cell: 330.9
Energy relative to the elements, uncorrected in eV/atom: -2.3786

---

14.
First-principles (PBE-GGA) data for an optimized crystal structure of PaAl2TlO6, as listed in Alexandria via LeMat-Bulk.

The structure in POSCAR format:
```
PaAl2TlO6
1.0
-2.199 -4.842 -1.594
3.206 -3.853 -2.388
1.430 -4.989 3.513
O Al Tl Pa
6 2 1 1
Cartesian
-0.010 -7.208 1.537
2.447 -6.476 -2.006
0.462 -4.892 -0.874
2.596 -6.256 1.360
-0.159 -7.428 -1.829
1.975 -8.792 0.405
0.419 -3.058 -0.959
2.018 -10.626 0.489
0.000 0.000 0.000
1.218 -6.842 -0.235
```

Properties
Spin magnetization in μB per formula unit: 0.00
Calculated total energy in eV/atom: -7.505
Calculated volume in Å³ per cell: 143.8
Energy relative to the elements, uncorrected in eV/atom: -2.5954

---

15.
First-principles (PBE-GGA) data for an optimized crystal structure of PaAlTlO6, as listed in Alexandria via LeMat-Bulk.

The structure in POSCAR format:
```
PaAlTlO6
1.0
4.775 0.000 0.000
0.000 5.324 0.000
0.000 -2.662 4.610
O Tl Pa Al
6 1 1 1
Cartesian
3.503 -0.710 1.420
3.503 -1.078 4.515
1.272 1.078 4.515
3.503 1.787 3.286
1.272 -1.787 3.286
1.272 0.710 1.420
2.388 2.662 1.537
0.000 0.000 3.074
2.388 0.000 0.000
```

Properties
Spin magnetization in μB per formula unit: 0.92
Calculated total energy in eV/atom: -7.255
Calculated volume in Å³ per cell: 117.2
Energy relative to the elements, uncorrected in eV/atom: -2.2156

---

16.
First-principles (PBE-GGA) data for an optimized crystal structure of TmPaAlO6, as listed in Alexandria via LeMat-Bulk.

The structure in POSCAR format:
```
TmPaAlO6
1.0
-0.742 0.678 4.606
3.013 -4.238 1.109
2.218 4.819 -0.352
Tm Al O Pa
1 1 6 1
Cartesian
2.377 -0.880 2.925
-0.371 0.339 2.303
0.194 1.925 3.279
2.527 3.990 3.350
4.061 2.002 1.653
1.377 0.430 1.452
3.099 0.974 3.887
1.414 3.514 1.004
2.483 1.800 0.135
```

Properties
Spin magnetization in μB per formula unit: 0.65
Calculated total energy in eV/atom: -8.343
Calculated volume in Å³ per cell: 115.4
Energy relative to the elements, uncorrected in eV/atom: -3.0693